{"formula": "CaV4Ag2O12", "functional": "PBE+U", "state": "relaxed", "total_energy_ev_per_atom": -6.8658, "lattice_angstrom": [[10.518, 0.000, 0.000], [0.000, 10.518, 0.000], [0.000, 0.000, 5.079]], "species": ["Ca", "Ca", "V", "V", "V", "V", "V", "V", "V", "V", "Ag", "Ag", "Ag", "Ag", "O", "O", "O", "O", "O", "O", "O", "O", "O", "O", "O", "O", "O", "O", "O", "O", "O", "O", "O", "O", "O", "O", "O", "O"], "fractional_positions": [[0.500, 0.500, 0.500], [0.000, 0.000, 0.500], [0.224, 0.500, 0.000], [0.500, 0.224, 0.000], [0.000, 0.724, 0.000], [0.724, 0.000, 0.000], [0.276, 0.000, 0.000], [0.000, 0.276, 0.000], [0.500, 0.776, 0.000], [0.776, 0.500, 0.000], [0.250, 0.250, 0.500], [0.250, 0.750, 0.500], [0.750, 0.250, 0.500], [0.750, 0.750, 0.500], [0.432, 0.311, 0.242], [0.568, 0.689, 0.242], [0.689, 0.432, 0.242], [0.311, 0.568, 0.242], [0.311, 0.432, 0.758], [0.432, 0.689, 0.758], [0.568, 0.311, 0.758], [0.689, 0.568, 0.758], [0.068, 0.189, 0.758], [0.932, 0.811, 0.758], [0.811, 0.068, 0.758], [0.189, 0.932, 0.758], [0.189, 0.068, 0.242], [0.068, 0.811, 0.242], [0.121, 0.379, 0.145], [0.379, 0.879, 0.145], [0.621, 0.121, 0.145], [0.879, 0.621, 0.145], [0.879, 0.379, 0.855], [0.121, 0.621, 0.855], [0.379, 0.121, 0.855], [0.621, 0.879, 0.855], [0.811, 0.932, 0.242], [0.932, 0.189, 0.242]]}